This record from the Alexandria database describes crystalline TaAg2Pt at its relaxed geometry. The functional is PBEsol.

a b c (Å): 2.769 4.916 4.814
angles (deg): 90.00 91.73 90.00
Space group P2/m (No. 10)
Asymmetric unit:
Ta 0.000 0.000 0.000 x1
Ag 0.270 0.500 0.751 x2
Pt 0.500 0.000 0.500 x1

Results
The formation enthalpy at 0 K comes out at 0.0 eV per formula unit. As for the polymorph energy (0 for the lowest one): 62.5 meV per atom. The calculation puts the electronic total energy at -6.55 eV per atom.

This record from the Alexandria database describes crystalline TaAgPt at its relaxed geometry. The functional is PBEsol.

a b c (Å): 2.832 2.832 12.106
angles (deg): 90.00 90.00 90.00
Space group I4mm (No. 107)
Asymmetric unit:
Ta 0.000 0.000 0.000 x2
Ag 0.000 0.000 0.326 x2
Pt 0.000 0.000 0.655 x2

Results
The formation enthalpy at 0 K comes out at -0.5 eV per formula unit. As for the polymorph energy (0 for the lowest one): 0.0 meV per atom. The calculation puts the electronic total energy at -7.79 eV per atom.

This record from the Alexandria database describes crystalline TaAg3Pt at its relaxed geometry. The functional is PBEsol.

a b c (Å): 4.864 4.864 4.864
angles (deg): 90.00 90.00 90.00
Space group Pm-3m (No. 221)
Asymmetric unit:
Ta 0.000 0.000 0.000 x1
Ag 0.000 0.500 0.500 x3
Pt 0.500 0.500 0.500 x1

Results
The formation enthalpy at 0 K comes out at 8.2 eV per formula unit. The calculation puts the electronic total energy at -4.24 eV per atom.